VASP calculation (PBE) on an optimized crystal structure of K2NaTcF6.

```
10
Lattice="2.884 1.665 4.745 -2.884 1.665 4.745 0.000 -3.330 4.745" Properties=species:S:1:pos:R:3 pbc="T T T"
K 0.000 0.000 3.558
K 0.000 0.000 10.678
Na 0.000 0.000 0.000
Tc 0.000 0.000 7.118
F -0.006 -1.626 5.952
F -1.405 0.818 5.952
F -1.411 -0.808 8.284
F 1.411 0.808 5.952
F 1.405 -0.818 8.284
F 0.006 1.626 8.284
```

Properties
The crystal system is trigonal. Its symmetry is R-3, No. 148. Its total energy is -49.19 eV for the cell shown. The value obtained for the energy relative to the lowest polymorph listed for this composition is 36.3 meV/atom.

=====

VASP calculation (PBE) on an optimized crystal structure of NdSm.

```
2
Lattice="0.000 3.279 3.279 3.279 0.000 3.279 3.279 3.279 0.000" Properties=species:S:1:pos:R:3 pbc="T T T"
Nd 0.000 0.000 0.000
Sm 3.279 3.279 3.279
```

Properties
The value obtained for the calculated formation energy is 639 meV per atom. The crystal system is cubic. Its symmetry is Fm-3m, No. 225. Its total energy is -8.20 eV for the cell shown. The value obtained for the energy relative to the lowest polymorph listed for this composition is 613.5 meV/atom.

=====

VASP calculation (PBE) on an optimized crystal structure of Mg2B2Pd.

```
5
Lattice="-1.727 2.377 3.757 1.727 -2.377 3.757 1.727 2.377 -3.757" Properties=species:S:1:pos:R:3 pbc="T T T"
Mg 0.000 0.000 1.556
Mg 0.000 0.000 5.957
B 1.727 0.830 0.000
B 0.000 1.547 3.757
Pd 0.000 2.377 0.000
```

Properties
The crystal system is orthorhombic. Its symmetry is Immm, No. 71. Its total energy is -22.38 eV for the cell shown.

=====

VASP calculation (PBE) on an optimized crystal structure of HoCdSnTe3.

```
12
Lattice="2.194 -7.357 0.000 2.194 7.357 0.000 0.000 0.000 11.197" Properties=species:S:1:pos:R:3 pbc="T T T"
Ho 0.000 0.000 0.000
Ho 0.000 0.000 5.598
Cd 2.194 0.352 8.398
Cd 2.194 -0.352 2.799
Sn 2.194 4.306 2.799
Sn 2.194 -4.306 8.398
Te 2.194 5.845 8.398
Te 2.194 2.151 6.115
Te 2.194 2.151 10.680
Te 2.194 -2.151 0.517
Te 2.194 -2.151 5.082
Te 2.194 -5.845 2.799
```

Properties
The crystal system is orthorhombic. Its symmetry is Cmcm, No. 63. Its total energy is -45.13 eV for the cell shown.

=====

VASP calculation (PBE) on an optimized crystal structure of TmCu2GeTe4.

```
8
Lattice="-3.179 3.179 6.225 3.179 -3.179 6.225 3.179 3.179 -6.225" Properties=species:S:1:pos:R:3 pbc="T T T"
Tm 0.000 0.000 0.000
Cu 3.179 0.000 3.112
Cu 0.000 3.179 3.112
Ge 0.000 0.000 6.225
Te 1.654 1.654 -1.763
Te 1.525 -1.525 7.987
Te 1.525 1.525 4.462
Te -1.525 1.525 7.987
```

Properties
The crystal system is tetragonal. Its symmetry is I-42m, No. 121. Its total energy is -31.77 eV for the cell shown.

=====

VASP calculation (PBE) on an optimized crystal structure of PmNbAs.

```
3
Lattice="0.000 3.291 3.291 3.291 0.000 3.291 3.291 3.291 0.000" Properties=species:S:1:pos:R:3 pbc="T T T"
Pm 0.000 0.000 0.000
Nb 3.291 3.291 3.291
As 4.936 4.936 4.936
```

Properties
The crystal system is cubic. Its symmetry is F-43m, No. 216. Its total energy is -20.20 eV for the cell shown. The value obtained for the energy relative to the lowest polymorph listed for this composition is 0.0 meV/atom.

=====

VASP calculation (PBE) on an optimized crystal structure of TbDySbI2.

```
5
Lattice="4.341 0.000 0.000 -2.170 3.759 0.000 0.000 0.000 11.188" Properties=species:S:1:pos:R:3 pbc="T T T"
Tb 0.000 0.000 0.000
Dy 0.000 2.506 3.383
Sb 2.170 1.253 1.696
I 0.000 0.000 5.316
I 0.000 2.506 9.254
```

Properties
The crystal system is trigonal. Its symmetry is P3m1, No. 156. Its total energy is -22.79 eV for the cell shown.

=====

VASP calculation (PBE) on an optimized crystal structure of Na3NbO4.

```
32
Lattice="5.543 -6.476 0.000 5.543 6.476 0.000 -1.891 0.000 5.393" Properties=species:S:1:pos:R:3 pbc="T T T"
Na 0.000 0.000 0.000
Na 1.826 3.238 2.696
Na 4.597 4.875 2.696
Na 0.965 1.654 5.269
Na 5.543 3.367 0.000
Na 0.965 -1.654 5.269
Na 1.826 -3.238 2.696
Na 5.543 0.000 0.000
Na 8.230 1.654 0.124
Na 5.543 -3.367 0.000
Na 8.230 -1.654 0.124
Na 4.597 -4.875 2.696
Nb 1.746 0.000 2.528
Nb 4.597 1.744 2.696
Nb 4.597 -1.744 2.696
Nb 7.448 0.000 2.864
O 1.093 1.424 1.427
O 0.345 0.000 3.825
O 3.853 2.996 1.466
O 1.093 -1.424 1.427
O 2.894 1.461 3.749
O 5.342 2.996 3.927
O 3.722 0.000 1.612
O 2.894 -1.461 3.749
O 6.301 1.461 1.644
O 5.472 0.000 3.781
O 3.853 -2.996 1.466
O 6.301 -1.461 1.644
O 8.102 1.424 3.966
O 5.342 -2.996 3.927
O 8.850 0.000 1.568
O 8.102 -1.424 3.966
```

Properties
The crystal system is monoclinic. Its symmetry is C2/m, No. 12. Its total energy is -204.58 eV for the cell shown.

=====

VASP calculation (PBE) on an optimized crystal structure of La3TmSi4.

```
8
Lattice="6.076 0.000 0.000 0.000 6.076 0.000 0.000 0.000 6.076" Properties=species:S:1:pos:R:3 pbc="T T T"
La 0.000 0.000 3.038
La 0.000 3.038 0.000
La 3.038 0.000 0.000
Tm 3.038 3.038 3.038
Si 0.000 0.000 0.000
Si 0.000 3.038 3.038
Si 3.038 0.000 3.038
Si 3.038 3.038 0.000
```

Properties
The crystal system is cubic. Its symmetry is Pm-3m, No. 221. Its total energy is -43.93 eV for the cell shown.

=====

VASP calculation (PBE) on an optimized crystal structure of LiInFeW.

```
4
Lattice="0.000 3.031 3.031 3.031 0.000 3.031 3.031 3.031 0.000" Properties=species:S:1:pos:R:3 pbc="T T T"
Li 0.000 0.000 0.000
In 4.547 4.547 4.547
Fe 3.031 3.031 3.031
W 1.516 1.516 1.516
```

Properties
The crystal system is cubic. Its symmetry is F-43m, No. 216. Its total energy is -25.17 eV for the cell shown. The value obtained for the energy relative to the lowest polymorph listed for this composition is 0.0 meV/atom.

=====

VASP calculation (PBE) on an optimized crystal structure of PrNd2Mg3Ga2Au.

```
9
Lattice="4.457 0.000 0.000 0.000 6.553 3.781 0.000 -6.553 3.781" Properties=species:S:1:pos:R:3 pbc="T T T"
Pr 0.000 0.000 0.000
Nd 0.000 -2.720 4.708
Nd 0.000 2.720 4.708
Mg 2.228 -1.592 2.226
Mg 2.228 1.592 2.226
Mg 2.228 0.000 4.971
Ga 2.228 -4.359 3.136
Ga 2.228 4.359 3.136
Au 0.000 0.000 3.151
```

Properties
The crystal system is orthorhombic. Its symmetry is Amm2, No. 38. Its total energy is -33.35 eV for the cell shown.

=====

VASP calculation (PBE) on an optimized crystal structure of LiCo2Hg.

```
4
Lattice="0.000 2.992 2.992 2.992 0.000 2.992 2.992 2.992 0.000" Properties=species:S:1:pos:R:3 pbc="T T T"
Li 0.000 0.000 0.000
Co 2.992 2.992 2.992
Co 4.488 4.488 4.488
Hg 1.496 1.496 1.496
```

Properties
The crystal system is cubic. Its symmetry is F-43m, No. 216. Its total energy is -14.93 eV for the cell shown.

=====

V (Å³/atom)
13.7, 35.3, 12.3, 30.1, 31.5, 23.8, 36.5, 12.1, 28.0, 13.9, 24.5, 13.4
Ρ (g/cm³)
3.8, 6.9, 4.8, 7.2, 5.8, 7.3, 6.3, 3.9, 5.2, 10.8, 6.3, 10.1